(1)
{"formula": "GaPb", "functional": "PBE-GGA", "state": "optimized geometry", "delta_e_f_mev_per_atom": 53.1, "space_group": "No. 11", "n_ef_per_ev_atom": 0.372, "magnetic_moment_mub_per_atom": 0.00, "cell": [[4.463, 0.000, 0.000], [0.000, 4.235, 0.000], [-2.178, 0.000, 5.514]], "species": ["Ga", "Ga", "Pb", "Pb"], "fractional_positions": [[0.071, 0.250, 0.152], [0.929, 0.750, 0.848], [0.361, 0.250, 0.711], [0.639, 0.750, 0.289]]}



(2)
{"formula": "Ga2Pb7", "functional": "PBE-GGA", "state": "optimized geometry", "delta_e_f_mev_per_atom": 45.4, "space_group": "No. 162", "n_ef_per_ev_atom": 0.301, "magnetic_moment_mub_per_atom": 0.00, "cell": [[5.922, 0.000, 0.000], [-2.961, 5.128, 0.000], [0.000, 0.000, 8.692]], "species": ["Ga", "Ga", "Pb", "Pb", "Pb", "Pb", "Pb", "Pb", "Pb"], "fractional_positions": [[0.333, 0.667, 0.000], [0.667, 0.333, 0.000], [0.000, 0.000, 0.000], [0.000, 0.337, 0.678], [0.000, 0.663, 0.322], [0.337, 0.000, 0.678], [0.337, 0.337, 0.322], [0.663, 0.000, 0.322], [0.663, 0.663, 0.678]]}



(3)
{"formula": "GaPb2", "functional": "PBE-GGA", "state": "optimized geometry", "delta_e_f_mev_per_atom": 262.5, "space_group": "No. 227", "n_ef_per_ev_atom": 0.358, "magnetic_moment_mub_per_atom": 0.00, "relative_energy_mev_per_atom": 190.3, "cell": [[0.000, 4.574, 4.574], [4.574, 0.000, 4.574], [4.574, 4.574, 0.000]], "species": ["Ga", "Ga", "Pb", "Pb", "Pb", "Pb"], "fractional_positions": [[0.125, 0.125, 0.125], [0.875, 0.875, 0.875], [0.000, 0.500, 0.500], [0.500, 0.000, 0.500], [0.500, 0.500, 0.000], [0.500, 0.500, 0.500]]}



(4)
{"formula": "GaPb", "functional": "PBE-GGA", "state": "optimized geometry", "delta_e_f_mev_per_atom": 287.5, "space_group": "No. 186", "n_ef_per_ev_atom": 0.438, "magnetic_moment_mub_per_atom": 0.00, "cell": [[4.209, 0.000, 0.000], [-2.105, 3.645, 0.000], [0.000, 0.000, 8.382]], "species": ["Ga", "Ga", "Pb", "Pb"], "fractional_positions": [[0.333, 0.667, 0.000], [0.667, 0.333, 0.500], [0.333, 0.667, 0.329], [0.667, 0.333, 0.829]]}



(5)
{"formula": "GaPb", "functional": "PBE-GGA", "state": "optimized geometry", "delta_e_f_mev_per_atom": 409.8, "space_group": "No. 217", "n_ef_per_ev_atom": 0.559, "magnetic_moment_mub_per_atom": 0.00, "cell": [[-4.416, 4.416, 4.416], [4.416, -4.416, 4.416], [4.416, 4.416, -4.416]], "species": ["Ga", "Ga", "Ga", "Ga", "Pb", "Pb", "Pb", "Pb"], "fractional_positions": [[0.000, 0.000, 0.698], [0.000, 0.698, 0.000], [0.302, 0.302, 0.302], [0.698, 0.000, 0.000], [0.000, 0.000, 0.340], [0.000, 0.340, 0.000], [0.340, 0.000, 0.000], [0.660, 0.660, 0.660]]}



(6)
{"formula": "GaPb6", "functional": "PBE-GGA", "state": "optimized geometry", "delta_e_f_mev_per_atom": 525.4, "space_group": "No. 229", "n_ef_per_ev_atom": 0.916, "magnetic_moment_mub_per_atom": 0.00, "cell": [[-4.307, 4.307, 4.307], [4.307, -4.307, 4.307], [4.307, 4.307, -4.307]], "species": ["Ga", "Pb", "Pb", "Pb", "Pb", "Pb", "Pb"], "fractional_positions": [[0.000, 0.000, 0.000], [0.250, 0.500, 0.750], [0.250, 0.750, 0.500], [0.500, 0.250, 0.750], [0.500, 0.750, 0.250], [0.750, 0.250, 0.500], [0.750, 0.500, 0.250]]}



(7)
{"formula": "GaPb", "functional": "PBE-GGA", "state": "optimized geometry", "delta_e_f_mev_per_atom": 156.9, "space_group": "No. 71", "n_ef_per_ev_atom": 0.500, "magnetic_moment_mub_per_atom": 0.00, "cell": [[-1.655, 2.628, 3.016], [1.655, -2.628, 3.016], [1.655, 2.628, -3.016]], "species": ["Ga", "Pb"], "fractional_positions": [[0.000, 0.000, 0.000], [0.500, 0.500, 0.000]]}



(8)
{"formula": "GaPb", "functional": "PBE-GGA", "state": "optimized geometry", "delta_e_f_mev_per_atom": 307.5, "space_group": "No. 136", "n_ef_per_ev_atom": 0.229, "magnetic_moment_mub_per_atom": 0.00, "cell": [[7.284, 0.000, 0.000], [0.000, 7.284, 0.000], [0.000, 0.000, 5.079]], "species": ["Ga", "Ga", "Ga", "Ga", "Pb", "Pb", "Pb", "Pb"], "fractional_positions": [[0.225, 0.225, 0.000], [0.275, 0.725, 0.500], [0.725, 0.275, 0.500], [0.775, 0.775, 0.000], [0.163, 0.837, 0.000], [0.337, 0.337, 0.500], [0.663, 0.663, 0.500], [0.837, 0.163, 0.000]]}



(9)
{"formula": "GaPb2", "functional": "PBE-GGA", "state": "optimized geometry", "delta_e_f_mev_per_atom": 72.2, "space_group": "No. 69", "n_ef_per_ev_atom": 0.382, "magnetic_moment_mub_per_atom": 0.00, "relative_energy_mev_per_atom": 0.0, "cell": [[0.000, 2.771, 5.631], [2.657, 0.000, 5.631], [2.657, 2.771, 0.000]], "species": ["Ga", "Pb", "Pb"], "fractional_positions": [[0.000, 0.000, 0.000], [0.346, 0.346, 0.654], [0.654, 0.654, 0.346]]}



(10)
{"formula": "GaPb", "functional": "PBE-GGA", "state": "optimized geometry", "delta_e_f_mev_per_atom": 50.2, "space_group": "No. 129", "n_ef_per_ev_atom": 0.455, "magnetic_moment_mub_per_atom": 0.00, "cell": [[3.560, 0.000, 0.000], [0.000, 3.560, 0.000], [0.000, 0.000, 8.031]], "species": ["Ga", "Ga", "Pb", "Pb"], "fractional_positions": [[0.250, 0.250, 0.085], [0.750, 0.750, 0.915], [0.250, 0.250, 0.659], [0.750, 0.750, 0.341]]}



(11)
{"formula": "Ga2Pb", "functional": "PBE-GGA", "state": "optimized geometry", "delta_e_f_mev_per_atom": 47.6, "space_group": "No. 227", "n_ef_per_ev_atom": 0.791, "magnetic_moment_mub_per_atom": 0.00, "relative_energy_mev_per_atom": 0.0, "cell": [[0.000, 4.129, 4.129], [4.129, 0.000, 4.129], [4.129, 4.129, 0.000]], "species": ["Ga", "Ga", "Ga", "Ga", "Pb", "Pb"], "fractional_positions": [[0.000, 0.000, 0.000], [0.000, 0.000, 0.500], [0.000, 0.500, 0.000], [0.500, 0.000, 0.000], [0.375, 0.375, 0.375], [0.625, 0.625, 0.625]]}



(12)
{"formula": "Ga2Pb", "functional": "PBE-GGA", "state": "optimized geometry", "delta_e_f_mev_per_atom": 57.3, "space_group": "No. 139", "n_ef_per_ev_atom": 0.301, "magnetic_moment_mub_per_atom": 0.00, "relative_energy_mev_per_atom": 9.7, "cell": [[-1.799, 1.799, 5.448], [1.799, -1.799, 5.448], [1.799, 1.799, -5.448]], "species": ["Ga", "Ga", "Pb"], "fractional_positions": [[0.191, 0.191, 0.000], [0.809, 0.809, 0.000], [0.500, 0.500, 0.000]]}